20
Lattice="6.266 3.617 3.973 -6.266 3.617 3.973 0.000 -7.235 3.973" Properties=species:S:1:pos:R:3 comment="CaAc3Ge6 (PBE, optimized geometry)" m_tot_mub_per_atom=0.000 delta_e_f_mev_per_atom=-619 n_ef_per_ev_atom=0.518 pbc="T T T"
Ca 0.000 0.000 0.000
Ca 0.000 0.000 5.959
Ac -3.531 1.119 4.966
Ac -2.735 -2.499 6.952
Ac 0.797 -3.617 4.966
Ac -0.797 3.617 6.952
Ac 2.735 2.499 4.966
Ac 3.531 -1.119 6.952
Ge -0.488 -2.393 1.944
Ge -1.828 1.619 1.944
Ge -1.828 -1.619 4.015
Ge 2.316 0.774 1.944
Ge -0.488 2.393 4.015
Ge 2.316 -0.774 4.015
Ge -2.316 0.774 7.904
Ge 0.488 -2.393 7.904
Ge -2.316 -0.774 9.974
Ge 1.828 1.619 7.904
Ge 1.828 -1.619 9.974
Ge 0.488 2.393 9.974